Record 1
This record from Alexandria describes a relaxed CaCePu2N4 crystal. The functional is PBE.

Cell lengths 6.0640, 3.5230, 6.0841 Å; angles 90.00, 109.54, 90.00 degrees
Element x y z (fractional)
Ca: 0.0000 0.0000 0.0000
Ce: 0.0000 0.5000 0.5000
Pu: 0.5000 0.0000 0.5000
Pu: 0.5000 0.5000 0.0000
N: 0.2657 0.0000 0.7505
N: 0.2782 0.5000 0.2658
N: 0.7218 0.5000 0.7342
N: 0.7343 0.0000 0.2495

Properties
Uncorrected formation energy: -1.2809 eV/atom
Energy: -80.15 eV/cell

***

Record 2
This record from Alexandria describes a relaxed CePrScPb crystal. The functional is PBE.

Cell lengths 5.4052, 5.4052, 5.4052 Å; angles 60.00, 60.00, 60.00 degrees
Element x y z (fractional)
Ce: 0.0000 0.0000 0.0000
Pr: 0.7500 0.7500 0.7500
Sc: 0.2500 0.2500 0.2500
Pb: 0.5000 0.5000 0.5000

Properties
Energy: -20.98 eV/cell
Energy of formation from the pure elements: -0.056 eV/atom

***

Record 3
This record from Alexandria describes a relaxed NaZn2Os crystal. The functional is PBE.

Cell lengths 4.4436, 4.4436, 4.4436 Å; angles 60.00, 60.00, 60.00 degrees
Element x y z (fractional)
Na: 0.0000 0.0000 0.0000
Zn: 0.2500 0.2500 0.2500
Zn: 0.7500 0.7500 0.7500
Os: 0.5000 0.5000 0.5000

Properties
Energy: -13.39 eV/cell
E above lowest polymorph: 0 kJ/mol of formula units
Energy of formation from the pure elements: 0.426 eV/atom

***

Record 4
This record from Alexandria describes a relaxed TbPdAu crystal. The functional is PBE.

Cell lengths 5.2268, 5.2268, 5.2268 Å; angles 138.67, 138.67, 59.88 degrees
Element x y z (fractional)
Tb: 0.0000 0.0000 0.0000
Pd: 0.3390 0.3390 0.0000
Au: 0.6690 0.6690 0.0000

Properties
Energy: -15.63 eV/cell
E above lowest polymorph: 0 kJ/mol of formula units
Energy of formation from the pure elements: -0.844 eV/atom